(1)
DFT (PBE-GGA) results for a geometry-optimized NbAlH structure.

Cell lengths 5.330, 5.330, 5.330 Å; angles 149.42, 149.42, 43.79 degrees
Sites, in units of the cell vectors:
Nb: 0.000 0.000 0.000
Al: 0.283 0.283 0.000
H: 0.564 0.564 0.000

Computed properties:
For the density of states at the Fermi level, the calculation gives 1.4 states/eV/f.u. For the total magnetization, the calculation gives 0.000 μB per atom. For the energy above the lowest structure with this stoichiometry, the calculation gives 191.7 meV per atom. Its total energy is -17.31 eV per formula unit. The calculated volume comes out at 13.03 Å³ per atom. Its space group is I4mm.

=====

(2)
DFT (PBE-GGA) results for a geometry-optimized Mn3AgPt4 structure.

Cell lengths 3.641, 4.127, 8.222 Å; angles 90.00, 90.00, 90.00 degrees
Sites, in units of the cell vectors:
Mn: 0.000 0.000 0.000
Mn: 0.000 0.500 0.253
Mn: 0.000 0.500 0.747
Ag: 0.000 0.000 0.500
Pt: 0.500 0.000 0.241
Pt: 0.500 0.000 0.759
Pt: 0.500 0.500 0.000
Pt: 0.500 0.500 0.500

Computed properties:
For the density of states at the Fermi level, the calculation gives 3.0 states/eV/f.u. For the total magnetization, the calculation gives 1.672 μB per atom. Its total energy is -56.75 eV per formula unit. The calculated volume comes out at 15.44 Å³ per atom. Its space group is Pmmm.

=====

(3)
DFT (PBE-GGA) results for a geometry-optimized Pa5Ni2S12 structure.

Cell lengths 8.245, 8.245, 8.445 Å; angles 104.79, 104.79, 48.67 degrees
Sites, in units of the cell vectors:
Pa: 0.000 0.000 0.000
Pa: 0.311 0.311 0.162
Pa: 0.320 0.320 0.649
Pa: 0.680 0.680 0.351
Pa: 0.689 0.689 0.838
Ni: 0.248 0.752 0.500
Ni: 0.752 0.248 0.500
S: 0.003 0.003 0.300
S: 0.077 0.589 0.411
S: 0.095 0.597 0.927
S: 0.403 0.905 0.073
S: 0.411 0.923 0.589
S: 0.498 0.498 0.291
S: 0.502 0.502 0.709
S: 0.589 0.077 0.411
S: 0.597 0.095 0.927
S: 0.905 0.403 0.073
S: 0.923 0.411 0.589
S: 0.997 0.997 0.700

Computed properties:
For the density of states at the Fermi level, the calculation gives 17.0 states/eV/f.u. For the total magnetization, the calculation gives 0.172 μB per atom. Its total energy is -133.00 eV per formula unit. The raw formation energy comes out at -2357 kJ/mol of formula units. The calculated volume comes out at 21.78 Å³ per atom. Its space group is C2/m.

=====

(4)
DFT (PBE-GGA) results for a geometry-optimized MgRhCl2 structure.

Cell lengths 3.445, 3.445, 7.634 Å; angles 90.00, 90.00, 121.13 degrees
Sites, in units of the cell vectors:
Mg: 0.000 0.000 0.000
Rh: 0.000 0.000 0.500
Cl: 0.500 0.500 0.232
Cl: 0.500 0.500 0.768

Computed properties:
For the density of states at the Fermi level, the calculation gives 2.4 states/eV/f.u. For the total magnetization, the calculation gives 0.270 μB per atom. For the energy above the lowest structure with this stoichiometry, the calculation gives 414.1 meV per atom. Its total energy is -13.62 eV per formula unit. The raw formation energy comes out at -94 kJ/mol of formula units. The calculated volume comes out at 19.38 Å³ per atom. Its space group is Cmmm.

=====

(5)
DFT (PBE-GGA) results for a geometry-optimized MgTe2Mo structure.

Cell lengths 3.375, 3.375, 7.780 Å; angles 90.00, 90.00, 90.00 degrees
Sites, in units of the cell vectors:
Mg: 0.000 0.000 0.000
Te: 0.500 0.500 0.287
Te: 0.500 0.500 0.713
Mo: 0.000 0.000 0.500

Computed properties:
For the density of states at the Fermi level, the calculation gives 2.5 states/eV/f.u. For the total magnetization, the calculation gives 0.000 μB per atom. Its total energy is -18.59 eV per formula unit. The raw formation energy comes out at 11 kJ/mol of formula units. The calculated volume comes out at 22.15 Å³ per atom. Its space group is P4/mmm.

=====

(6)
DFT (PBE-GGA) results for a geometry-optimized TbHoTlIn structure.

Cell lengths 5.342, 5.342, 5.342 Å; angles 60.00, 60.00, 60.00 degrees
Sites, in units of the cell vectors:
Tb: 0.000 0.000 0.000
Ho: 0.500 0.500 0.500
Tl: 0.750 0.750 0.750
In: 0.250 0.250 0.250

Computed properties:
For the density of states at the Fermi level, the calculation gives 1.7 states/eV/f.u. For the total magnetization, the calculation gives 0.000 μB per atom. Its total energy is -15.92 eV per formula unit. The calculated volume comes out at 26.95 Å³ per atom. Its space group is F-43m.

=====

(7)
DFT (PBE-GGA) results for a geometry-optimized KHfGaO4 structure.

Cell lengths 5.535, 5.738, 7.153 Å; angles 90.00, 104.40, 90.00 degrees
Sites, in units of the cell vectors:
K: 0.147 0.250 0.092
K: 0.853 0.750 0.908
Hf: 0.165 0.750 0.474
Hf: 0.835 0.250 0.526
Ga: 0.399 0.250 0.670
Ga: 0.601 0.750 0.330
O: 0.150 0.020 0.668
O: 0.150 0.480 0.668
O: 0.268 0.750 0.209
O: 0.459 0.250 0.424
O: 0.541 0.750 0.576
O: 0.732 0.250 0.791
O: 0.850 0.520 0.332
O: 0.850 0.980 0.332

Computed properties:
For the density of states at the Fermi level, the calculation gives 0.0 states/eV/f.u. For the total magnetization, the calculation gives 0.000 μB per atom. Its total energy is -51.01 eV per formula unit. The raw formation energy comes out at -1649 kJ/mol of formula units. The calculated volume comes out at 15.72 Å³ per atom. Its space group is P2_1/m.

=====

(8)
DFT (PBE-GGA) results for a geometry-optimized CdTc2F structure.

Cell lengths 11.365, 11.365, 11.365 Å; angles 162.42, 162.42, 24.96 degrees
Sites, in units of the cell vectors:
Cd: 0.000 0.000 0.000
Cd: 0.750 0.250 0.500
Tc: 0.121 0.625 0.996
Tc: 0.375 0.371 0.496
Tc: 0.629 0.125 0.004
Tc: 0.875 0.879 0.504
F: 0.250 0.750 0.500
F: 0.500 0.500 0.000

Computed properties:
For the density of states at the Fermi level, the calculation gives 3.8 states/eV/f.u. For the total magnetization, the calculation gives 0.000 μB per atom. For the energy above the lowest structure with this stoichiometry, the calculation gives 0.0 meV per atom. Its total energy is -23.00 eV per formula unit. The raw formation energy comes out at 50 kJ/mol of formula units. The calculated volume comes out at 16.73 Å³ per atom. Its space group is I-42d.

=====

(9)
DFT (PBE-GGA) results for a geometry-optimized ZrBe structure.

Cell lengths 3.236, 3.236, 7.823 Å; angles 90.00, 90.00, 120.00 degrees
Sites, in units of the cell vectors:
Zr: 0.000 0.000 0.000
Zr: 0.000 0.000 0.500
Be: 0.333 0.667 0.250
Be: 0.667 0.333 0.750

Computed properties:
For the density of states at the Fermi level, the calculation gives 2.1 states/eV/f.u. For the total magnetization, the calculation gives 0.000 μB per atom. Its total energy is -11.38 eV per formula unit. The calculated volume comes out at 17.74 Å³ per atom. Its space group is P6_3/mmc.

=====

(10)
DFT (PBE-GGA) results for a geometry-optimized Pr5ScIn5 structure.

Cell lengths 9.441, 9.441, 7.135 Å; angles 112.10, 112.10, 35.53 degrees
Sites, in units of the cell vectors:
Pr: 0.000 0.000 0.000
Pr: 0.308 0.308 0.307
Pr: 0.358 0.358 0.857
Pr: 0.642 0.642 0.143
Pr: 0.692 0.692 0.693
Sc: 0.000 0.000 0.500
In: 0.158 0.158 0.442
In: 0.158 0.158 0.875
In: 0.500 0.500 0.500
In: 0.842 0.842 0.125
In: 0.842 0.842 0.558

Computed properties:
For the density of states at the Fermi level, the calculation gives 12.5 states/eV/f.u. For the total magnetization, the calculation gives 0.002 μB per atom. Its total energy is -46.72 eV per formula unit. The calculated volume comes out at 30.87 Å³ per atom. Its space group is C2/m.

=====

(11)
DFT (PBE-GGA) results for a geometry-optimized LiHg2Cl structure.

Cell lengths 4.016, 4.016, 6.819 Å; angles 90.00, 90.00, 90.11 degrees
Sites, in units of the cell vectors:
Li: 0.000 0.000 0.000
Hg: 0.251 0.251 0.500
Hg: 0.749 0.749 0.500
Cl: 0.500 0.500 0.000

Computed properties:
For the density of states at the Fermi level, the calculation gives 0.3 states/eV/f.u. For the total magnetization, the calculation gives 0.000 μB per atom. For the energy above the lowest structure with this stoichiometry, the calculation gives 195.4 meV per atom. Its total energy is -6.91 eV per formula unit. The raw formation energy comes out at -245 kJ/mol of formula units. The calculated volume comes out at 27.49 Å³ per atom. Its space group is Cmmm.

=====

(12)
DFT (PBE-GGA) results for a geometry-optimized Co2NiHRu structure.

Cell lengths 3.693, 3.693, 3.602 Å; angles 90.00, 90.00, 90.00 degrees
Sites, in units of the cell vectors:
Co: 0.000 0.500 0.000
Co: 0.500 0.000 0.000
Ni: 0.000 0.000 0.500
H: 0.000 0.000 0.000
Ru: 0.500 0.500 0.500

Computed properties:
For the density of states at the Fermi level, the calculation gives 4.0 states/eV/f.u. For the total magnetization, the calculation gives 0.928 μB per atom. For the energy above the lowest structure with this stoichiometry, the calculation gives 7.9 meV per atom. Its total energy is -31.92 eV per formula unit. The calculated volume comes out at 9.83 Å³ per atom. Its space group is P4/mmm.